--- w ---
DFT (GGA-PBE) results for a relaxed TcSb2 crystal.

a b c (Å): 8.4689 8.4689 8.4689
angles (deg): 90.00 90.00 90.00
Space group Fd-3m (No. 227, origin choice 2)
Unique sites:
Tc 0.1250 0.1250 0.1250 (multiplicity 8)
Sb 0.0000 0.0000 0.5000 (multiplicity 16)

DOS at the Fermi energy	1.076	states/eV per atom

--- x ---
DFT (GGA-PBE) results for a relaxed TcSb2 crystal.

a b c (Å): 4.8260 4.8260 6.2629
angles (deg): 90.00 90.00 120.00
Space group P6_3/mmc (No. 194)
Unique sites:
Tc 0.3333 0.6667 0.2500 (multiplicity 2)
Sb 0.0000 0.0000 0.0000 (multiplicity 2)
Sb 0.3333 0.6667 0.7500 (multiplicity 2)

DOS at the Fermi energy	1.229	states/eV per atom

--- y ---
DFT (GGA-PBE) results for a relaxed TcSb2 crystal.

a b c (Å): 3.4642 3.4642 6.3704
angles (deg): 90.00 90.00 120.00
Space group P-3m1 (No. 164)
Unique sites:
Tc 0.0000 0.0000 0.0000 (multiplicity 1)
Sb 0.3333 0.6667 0.2889 (multiplicity 2)

DOS at the Fermi energy	0.898	states/eV per atom

--- z ---
DFT (GGA-PBE) results for a relaxed TcSb2 crystal.

a b c (Å): 3.4018 14.3093 5.3405
angles (deg): 90.00 90.00 90.00
Space group Cmcm (No. 63)
Unique sites:
Tc 0.0000 0.1995 0.2500 (multiplicity 4)
Sb 0.0000 0.1538 0.7500 (multiplicity 4)
Sb 0.0000 0.4509 0.7500 (multiplicity 4)

DOS at the Fermi energy	0.790	states/eV per atom

Of them, w has the lowest stability.

--- w ---
DFT (GGA-PBE) results for a relaxed TcSb2 crystal.

a b c (Å): 6.6395 6.6395 3.3680
angles (deg): 90.00 90.00 90.00
Space group P4_2/mnm (No. 136)
Unique sites:
Tc 0.0000 0.0000 0.0000 (multiplicity 2)
Sb 0.2192 0.2192 0.5000 (multiplicity 4)

DOS at the Fermi energy	1.129	states/eV per atom

--- x ---
DFT (GGA-PBE) results for a relaxed TcSb2 crystal.

a b c (Å): 6.4736 6.4736 6.4736
angles (deg): 90.00 90.00 90.00
Space group Fm-3m (No. 225)
Unique sites:
Tc 0.0000 0.0000 0.0000 (multiplicity 4)
Sb 0.2500 0.2500 0.2500 (multiplicity 8)

DOS at the Fermi energy	1.081	states/eV per atom

--- y ---
DFT (GGA-PBE) results for a relaxed TcSb2 crystal.

a b c (Å): 3.2582 3.2582 25.8372
angles (deg): 90.00 90.00 90.00
Space group I4_1/amd (No. 141, origin choice 2)
Unique sites:
Tc 0.0000 0.2500 0.3750 (multiplicity 4)
Sb 0.0000 0.2500 0.8120 (multiplicity 8)

DOS at the Fermi energy	0.528	states/eV per atom

Of them, x has the lowest stability.

--- w ---
DFT (GGA-PBE) results for a relaxed TcSb2 crystal.

a b c (Å): 3.2415 3.2415 12.9589
angles (deg): 90.00 90.00 90.00
Space group I4/mmm (No. 139)
Unique sites:
Tc 0.0000 0.0000 0.0000 (multiplicity 2)
Sb 0.0000 0.0000 0.3732 (multiplicity 4)

DOS at the Fermi energy	0.695	states/eV per atom

--- x ---
DFT (GGA-PBE) results for a relaxed TcSb2 crystal.

a b c (Å): 14.1035 3.3157 6.5753
angles (deg): 90.00 117.46 90.00
Space group C2/m (No. 12)
Unique sites:
Tc 0.2415 0.0000 0.3090 (multiplicity 4)
Sb 0.0851 0.5000 0.2766 (multiplicity 4)
Sb 0.1441 0.0000 0.8328 (multiplicity 4)

DOS at the Fermi energy	0.485	states/eV per atom

Of them, w has the lowest stability.

--- w ---
DFT (GGA-PBE) results for a relaxed TcSb2 crystal.

a b c (Å): 4.7260 4.7260 3.3568
angles (deg): 90.00 90.00 120.00
Space group P-3m1 (No. 164)
Unique sites:
Tc 0.0000 0.0000 0.0000 (multiplicity 1)
Sb 0.3333 0.6667 0.7963 (multiplicity 2)

DOS at the Fermi energy	1.145	states/eV per atom

--- x ---
DFT (GGA-PBE) results for a relaxed TcSb2 crystal.

a b c (Å): 4.3946 4.3946 31.0330
angles (deg): 90.00 90.00 90.00
Space group I4_1/amd (No. 141, origin choice 2)
Unique sites:
Tc 0.0000 0.2500 0.2686 (multiplicity 8)
Sb 0.0000 0.2500 0.0947 (multiplicity 8)
Sb 0.0000 0.2500 0.7865 (multiplicity 8)

DOS at the Fermi energy	0.525	states/eV per atom

--- y ---
DFT (GGA-PBE) results for a relaxed TcSb2 crystal.

a b c (Å): 7.8102 7.8102 3.4592
angles (deg): 90.00 90.00 120.00
Space group P-62m (No. 189)
Unique sites:
Tc 0.0000 0.0000 0.0000 (multiplicity 1)
Tc 0.3333 0.6667 0.5000 (multiplicity 2)
Sb 0.0000 0.2765 0.5000 (multiplicity 3)
Sb 0.0000 0.6085 0.0000 (multiplicity 3)

DOS at the Fermi energy	0.794	states/eV per atom

--- z ---
DFT (GGA-PBE) results for a relaxed TcSb2 crystal.

a b c (Å): 5.7217 5.7217 11.1474
angles (deg): 90.00 90.00 120.00
Space group P6_3/mmc (No. 194)
Unique sites:
Tc 0.3333 0.6667 0.0575 (multiplicity 4)
Sb 0.0000 0.0000 0.0000 (multiplicity 2)
Sb 0.1664 0.3328 0.2500 (multiplicity 6)

DOS at the Fermi energy	1.072	states/eV per atom

Of them, z has the lowest stability.

--- w ---
DFT (GGA-PBE) results for a relaxed TcSb3 crystal.

a b c (Å): 3.5216 4.5577 6.5037
angles (deg): 90.00 90.00 90.00
Space group Pmm2 (No. 25)
Unique sites:
Tc 0.0000 0.0000 0.0000 (multiplicity 1)
Sb 0.0000 0.5000 0.7732 (multiplicity 1)
Sb 0.5000 0.0000 0.6663 (multiplicity 1)
Sb 0.5000 0.5000 0.1891 (multiplicity 1)

DOS at the Fermi energy	0.644	states/eV per atom

--- x ---
DFT (GGA-PBE) results for a relaxed TcSb3 crystal.

a b c (Å): 3.3664 12.9634 8.5694
angles (deg): 90.00 90.00 90.00
Space group Cmcm (No. 63)
Unique sites:
Tc 0.0000 0.2254 0.2500 (multiplicity 4)
Sb 0.0000 0.1512 0.5647 (multiplicity 8)
Sb 0.0000 0.4397 0.7500 (multiplicity 4)

DOS at the Fermi energy	0.483	states/eV per atom

Of them, w has the lowest stability.